Entry from Alexandria: crystalline MgMo2Br at its relaxed geometry (PBE).

Summary:
excess energy over the best structure of this formula in the dataset: 0.658 eV per atom
ΔE_f (raw): 0.785 eV/atom
Fermi-level density of states: 0.752 states/eV/atom
symmetry: F-43m

abc: 4.619 4.619 4.619
angles: 60.00 60.00 60.00
Atoms (fractional coordinates):
Mg 0.000 0.000 0.000
Mo 0.500 0.500 0.500
Mo 0.750 0.750 0.750
Br 0.250 0.250 0.250